(1)
Entry from the Alexandria database: a geometry-optimized TaAsAu2 structure (GGA-PBEsol).

Lattice parameters (Å, degrees): 3.286 4.303 4.810 90.00 90.00 90.00
Sites, in units of the cell vectors:
Ta (0.000, 0.000, 0.000)
As (0.500, 0.500, 0.000)
Au (0.000, 0.500, 0.500)
Au (0.500, 0.000, 0.500)

## Properties
- formation enthalpy at 0 K (meV/atom) = 70

=====

(2)
Entry from the Alexandria database: a geometry-optimized TcAs2Au structure (GGA-PBEsol).

Lattice parameters (Å, degrees): 4.431 4.431 3.228 90.00 90.00 90.00
Sites, in units of the cell vectors:
Tc (0.000, 0.000, 0.000)
As (0.000, 0.500, 0.500)
As (0.500, 0.000, 0.500)
Au (0.500, 0.500, 0.000)

## Properties
- formation enthalpy at 0 K (meV/atom) = 286
- energy above the most stable polymorph in this dataset (kJ per mole of atoms) = 27.2

=====

(3)
Entry from the Alexandria database: a geometry-optimized TcAs2Au structure (GGA-PBEsol).

Lattice parameters (Å, degrees): 3.256 4.117 4.890 90.00 90.00 90.00
Sites, in units of the cell vectors:
Tc (0.000, 0.000, 0.000)
As (0.000, 0.500, 0.500)
As (0.500, 0.500, 0.000)
Au (0.500, 0.000, 0.500)

## Properties
- formation enthalpy at 0 K (meV/atom) = 467
- energy above the most stable polymorph in this dataset (kJ per mole of atoms) = 44.6

=====

(4)
Entry from the Alexandria database: a geometry-optimized TcAs2Au structure (GGA-PBEsol).

Lattice parameters (Å, degrees): 8.234 8.234 8.234 21.53 21.53 21.53
Sites, in units of the cell vectors:
Tc (0.000, 0.000, 0.000)
As (0.259, 0.259, 0.259)
As (0.741, 0.741, 0.741)
Au (0.500, 0.500, 0.500)

## Properties
- formation enthalpy at 0 K (meV/atom) = 4
- energy above the most stable polymorph in this dataset (kJ per mole of atoms) = 0.0

=====

(5)
Entry from the Alexandria database: a geometry-optimized TeAsAu structure (GGA-PBEsol).

Lattice parameters (Å, degrees): 3.984 3.984 4.800 90.00 90.00 120.00
Sites, in units of the cell vectors:
Te (0.000, 0.000, 0.000)
As (0.333, 0.667, 0.600)
Au (0.667, 0.333, 0.331)

## Properties
- energy relative to the elements, uncorrected (meV/atom) = -17

=====

(6)
Entry from the Alexandria database: a geometry-optimized TeAs2Au structure (GGA-PBEsol).

Lattice parameters (Å, degrees): 4.779 3.965 4.848 90.00 108.79 90.00
Sites, in units of the cell vectors:
Te (0.000, 0.000, 0.000)
As (0.248, 0.500, 0.695)
As (0.752, 0.500, 0.305)
Au (0.500, 0.000, 0.500)

## Properties
- energy relative to the elements, uncorrected (meV/atom) = 18

=====

(7)
Entry from the Alexandria database: a geometry-optimized Te2As2Au structure (GGA-PBEsol).

Lattice parameters (Å, degrees): 7.697 7.697 3.981 90.00 90.00 90.00
Sites, in units of the cell vectors:
Te (0.148, 0.352, 0.000)
Te (0.352, 0.852, 0.000)
Te (0.648, 0.148, 0.000)
Te (0.852, 0.648, 0.000)
As (0.185, 0.685, 0.500)
As (0.315, 0.185, 0.500)
As (0.685, 0.815, 0.500)
As (0.815, 0.315, 0.500)
Au (0.000, 0.000, 0.500)
Au (0.500, 0.500, 0.500)

## Properties
- energy relative to the elements, uncorrected (meV/atom) = 266
- energy above the most stable polymorph in this dataset (kJ per mole of atoms) = 0.0

=====

(8)
Entry from the Alexandria database: a geometry-optimized TeAs2Au structure (GGA-PBEsol).

Lattice parameters (Å, degrees): 3.669 3.669 6.210 90.00 90.00 90.00
Sites, in units of the cell vectors:
Te (0.000, 0.000, 0.000)
As (0.500, 0.500, 0.300)
As (0.500, 0.500, 0.700)
Au (0.000, 0.000, 0.500)

## Properties
- energy relative to the elements, uncorrected (meV/atom) = 306

=====

no.,density of states at the Fermi level (states/eV/f.u.),density (g cm⁻³)
1,2.63,15.87
2,3.68,11.65
3,3.55,11.27
4,1.85,11.22
5,1.17,10.06
6,1.78,9.06
7,2.21,8.48
8,2.29,9.42